Record 1
Here is Na2ScPCO7 at its PBEsol-relaxed geometry from Alexandria via LeMat-Bulk. Energies are from meta-GGA SCAN.

Formation energy without anion corrections (eV per atom): -2.555
Total moment (μB per cell): 0.1

Geometry as extended XYZ:
```
24
Lattice="5.267 0.000 0.000 0.000 6.676 0.000 -0.060 0.000 9.040" Properties=species:S:1:pos:R:3 pbc="T T T"
Na 1.249 0.013 2.537
Na 1.249 3.325 2.537
Na 3.958 3.351 6.503
Na 3.958 6.662 6.503
Sc 1.057 1.669 7.794
Sc 4.150 5.007 1.246
P 1.459 5.007 8.373
P 3.748 1.669 0.667
C 1.383 1.669 5.247
C 3.824 5.007 3.792
O 0.195 1.669 5.796
O 0.914 5.007 0.770
O 0.993 3.744 7.628
O 0.993 6.269 7.628
O 1.587 1.669 4.010
O 2.192 1.669 0.542
O 2.367 1.669 6.131
O 2.840 5.007 2.908
O 3.015 5.007 8.497
O 3.620 5.007 5.030
O 4.214 0.407 1.412
O 4.214 2.931 1.412
O 4.293 1.669 8.270
O 5.012 5.007 3.244
```

---

Record 2
Here is Na3SnPCO7 at its PBEsol-relaxed geometry from Alexandria via LeMat-Bulk. Energies are from meta-GGA SCAN.

Formation energy without anion corrections (eV per atom): -2.026
Total moment (μB per cell): 0.0

Geometry as extended XYZ:
```
26
Lattice="5.382 0.000 0.000 0.000 6.966 0.000 -0.742 0.000 9.358" Properties=species:S:1:pos:R:3 pbc="T T T"
Na 0.869 1.741 3.860
Na 0.818 3.487 7.066
Na 0.818 6.962 7.066
Na 3.822 0.004 2.292
Na 3.822 3.479 2.292
Na 3.771 5.224 5.498
Sn 1.128 5.224 1.223
Sn 3.513 1.741 8.135
P 1.280 1.741 0.992
P 3.360 5.224 8.366
C 1.039 5.224 4.120
C 3.602 1.741 5.238
O 0.062 5.224 3.233
O 0.626 0.510 1.689
O 0.626 2.973 1.689
O 0.224 1.741 8.807
O 0.738 5.224 5.367
O 1.849 5.224 8.150
O 2.269 5.224 3.711
O 2.371 1.741 5.647
O 2.792 1.741 1.208
O 3.903 1.741 3.991
O 4.417 5.224 0.551
O 4.014 3.993 7.670
O 4.014 6.456 7.670
O 4.579 1.741 6.125
```

---

Record 3
Here is Na6Sn2PC4O16 at its PBEsol-relaxed geometry from Alexandria via LeMat-Bulk. Energies are from meta-GGA SCAN.

Formation energy without anion corrections (eV per atom): -1.771
Total moment (μB per cell): 2.1

Geometry as extended XYZ:
```
58
Lattice="0.000 7.163 7.163 7.163 0.000 7.163 7.163 7.163 0.000" Properties=species:S:1:pos:R:3 pbc="T T T"
Na 5.372 5.372 1.056
Na 5.372 1.056 5.372
Na 9.688 5.372 5.372
Na 8.954 8.954 4.637
Na 8.954 4.637 8.954
Na 13.270 8.954 8.954
Na 1.056 5.372 5.372
Na 5.372 9.688 5.372
Na 5.372 5.372 9.688
Na 4.637 8.954 8.954
Na 8.954 13.270 8.954
Na 8.954 8.954 13.270
Sn 7.163 3.581 3.581
Sn 3.581 7.163 3.581
Sn 3.581 3.581 7.163
Sn 7.163 7.163 7.163
P 1.791 1.791 1.791
P 12.535 12.535 12.535
C 3.958 3.958 3.958
C 6.786 6.786 3.958
C 6.786 3.958 6.786
C 10.368 7.539 7.539
C 3.958 6.786 6.786
C 7.539 10.368 7.539
C 7.539 7.539 10.368
C 10.368 10.368 10.368
O 0.892 0.892 0.892
O 2.690 2.690 0.892
O 2.690 0.892 2.690
O 6.821 5.851 3.057
O 4.893 3.057 3.923
O 7.687 3.923 5.851
O 3.923 4.893 3.057
O 7.687 6.821 4.893
O 5.851 3.057 6.821
O 0.892 2.690 2.690
O 10.402 8.475 6.639
O 9.432 6.639 7.505
O 11.268 7.505 8.475
O 5.851 7.687 3.923
O 3.057 3.923 4.893
O 6.821 4.893 7.687
O 7.505 9.432 6.639
O 11.268 10.402 9.432
O 8.475 6.639 10.402
O 3.057 6.821 5.851
O 4.893 7.687 6.821
O 3.923 5.851 7.687
O 13.434 11.636 11.636
O 8.475 11.268 7.505
O 6.639 7.505 9.432
O 10.402 9.432 11.268
O 6.639 10.402 8.475
O 9.432 11.268 10.402
O 7.505 8.475 11.268
O 11.636 13.434 11.636
O 11.636 11.636 13.434
O 13.434 13.434 13.434
```

---

Record 4
Here is Na3SnPCO7 at its PBEsol-relaxed geometry from Alexandria via LeMat-Bulk. Energies are from meta-GGA SCAN.

Formation energy without anion corrections (eV per atom): -2.038
Total moment (μB per cell): 0.0

Geometry as extended XYZ:
```
26
Lattice="5.472 0.000 0.000 0.000 6.868 0.000 -1.048 0.000 9.207" Properties=species:S:1:pos:R:3 pbc="T T T"
Na 0.027 0.000 0.184
Na 1.705 5.174 7.918
Na 2.161 6.497 4.566
Na 2.262 3.063 4.641
Na 2.719 1.740 1.289
Na 4.397 3.434 9.023
Sn -0.323 1.290 6.138
Sn 4.747 4.724 3.068
P -0.309 1.504 2.818
P 4.733 4.938 6.389
C 2.500 4.850 1.483
C 1.924 1.416 7.724
O 0.486 2.002 1.603
O -0.013 3.607 6.736
O 0.407 5.943 6.015
O 0.669 1.364 4.031
O 1.457 5.095 0.796
O 0.818 1.022 8.295
O 1.884 1.544 6.418
O 2.540 4.978 2.789
O 3.606 4.456 0.912
O 2.966 1.661 8.411
O 3.755 4.798 5.176
O 4.017 2.508 3.192
O 4.437 0.173 2.471
O 3.938 5.436 7.604
```

---

Record 5
Here is Na2TbPCO7 at its PBEsol-relaxed geometry from Alexandria via LeMat-Bulk. Energies are from meta-GGA SCAN.

Formation energy without anion corrections (eV per atom): -2.574
Total moment (μB per cell): 0.0

Geometry as extended XYZ:
```
24
Lattice="5.017 0.000 0.000 0.000 6.961 0.000 -0.090 0.000 9.390" Properties=species:S:1:pos:R:3 pbc="T T T"
Na 1.187 0.087 1.954
Na 1.187 3.394 1.954
Na 3.741 3.567 7.436
Na 3.741 6.874 7.436
Tb 1.078 1.740 5.842
Tb 3.850 5.221 3.548
P 1.465 5.221 5.515
P 3.463 1.740 3.875
C 1.208 1.740 8.579
C 3.720 5.221 0.811
O 0.057 1.740 7.958
O 0.839 3.953 6.124
O 0.839 6.488 6.124
O 1.224 5.221 3.961
O 1.418 1.740 0.439
O 1.919 1.740 3.687
O 2.250 1.740 7.767
O 2.677 5.221 1.623
O 3.008 5.221 5.703
O 3.509 5.221 8.951
O 3.703 1.740 5.429
O 4.088 0.473 3.266
O 4.088 3.008 3.266
O 4.870 5.221 1.432
```

---

Record 6
Here is Na3TlPCO7 at its PBEsol-relaxed geometry from Alexandria via LeMat-Bulk. Energies are from meta-GGA SCAN.

Formation energy without anion corrections (eV per atom): -1.923
Total moment (μB per cell): 0.0

Geometry as extended XYZ:
```
26
Lattice="5.233 0.000 0.000 0.000 7.011 0.000 -0.138 0.000 9.350" Properties=species:S:1:pos:R:3 pbc="T T T"
Na 1.199 1.753 3.922
Na 1.167 0.035 6.985
Na 1.167 3.471 6.985
Na 3.928 3.540 2.364
Na 3.928 6.977 2.364
Na 3.896 5.259 5.428
Tl 1.237 5.259 1.105
Tl 3.858 1.753 8.244
P 1.499 1.753 0.953
P 3.596 5.259 8.397
C 1.300 5.259 4.114
C 3.795 1.753 5.236
O 0.130 5.259 3.552
O 0.897 0.533 1.711
O 0.897 2.972 1.711
O 1.038 1.753 8.777
O 1.400 5.259 5.404
O 2.053 5.259 8.230
O 2.392 5.259 3.397
O 2.703 1.753 5.953
O 3.042 1.753 1.119
O 3.695 1.753 3.945
O 4.057 5.259 0.573
O 4.198 4.039 7.639
O 4.198 6.478 7.639
O 4.965 1.753 5.798
```

---

Record 7
Here is Na3TlPCO7 at its PBEsol-relaxed geometry from Alexandria via LeMat-Bulk. Energies are from meta-GGA SCAN.

Formation energy without anion corrections (eV per atom): -1.928
Total moment (μB per cell): 0.0

Geometry as extended XYZ:
```
26
Lattice="5.287 0.000 0.000 0.000 6.990 0.000 -0.221 0.000 9.379" Properties=species:S:1:pos:R:3 pbc="T T T"
Na 0.001 0.000 0.004
Na 5.065 3.495 9.376
Na 2.419 1.764 1.590
Na 2.523 6.958 4.641
Na 2.543 3.463 4.738
Na 2.647 5.259 7.789
Tl 5.132 1.739 6.581
Tl -0.066 5.234 2.798
P -0.057 1.741 3.141
P 5.123 5.236 6.238
C 2.442 1.751 8.162
C 2.624 5.246 1.217
O 0.333 2.956 2.235
O 0.342 0.525 2.242
O 0.864 1.745 4.396
O 1.323 5.234 5.859
O 1.267 1.747 8.731
O 1.575 5.241 0.466
O 2.548 5.254 2.517
O 2.518 1.759 6.863
O 3.491 1.745 8.913
O 3.799 5.242 0.648
O 3.743 1.738 3.520
O 4.202 5.240 4.984
O 4.724 4.020 7.138
O 4.733 6.451 7.145
```

---

Record 8
Here is Na3VPCO7 at its PBEsol-relaxed geometry from Alexandria via LeMat-Bulk. Energies are from meta-GGA SCAN.

Formation energy without anion corrections (eV per atom): -2.237
Total moment (μB per cell): 6.0

Geometry as extended XYZ:
```
26
Lattice="5.159 0.000 0.000 0.000 6.668 0.000 -0.193 0.000 8.885" Properties=species:S:1:pos:R:3 pbc="T T T"
Na 1.169 1.667 0.729
Na 1.172 3.382 6.446
Na 1.172 6.619 6.446
Na 3.795 0.048 2.439
Na 3.795 3.286 2.439
Na 3.798 5.001 8.156
V 1.097 5.001 3.035
V 3.869 1.667 5.850
P 1.392 1.667 3.665
P 3.574 5.001 5.220
C 1.440 5.001 0.519
C 3.526 1.667 8.366
O 0.263 5.001 1.077
O 0.614 1.667 4.996
O 1.040 0.431 2.787
O 1.040 2.903 2.787
O 1.392 5.001 8.129
O 2.047 5.001 4.921
O 2.462 5.001 1.332
O 2.504 1.667 7.553
O 2.919 1.667 3.964
O 3.575 1.667 0.756
O 3.926 3.765 6.098
O 3.926 6.237 6.098
O 4.352 5.001 3.889
O 4.703 1.667 7.808
```

---

Record 9
Here is NaVPCO7 at its PBEsol-relaxed geometry from Alexandria via LeMat-Bulk. Energies are from meta-GGA SCAN.

Formation energy without anion corrections (eV per atom): -2.191
Total moment (μB per cell): 2.0

Geometry as extended XYZ:
```
22
Lattice="5.235 0.000 0.000 0.000 6.202 0.000 -0.239 0.000 9.053" Properties=species:S:1:pos:R:3 pbc="T T T"
Na 0.974 0.000 1.984
Na 4.022 3.101 7.069
V 1.041 1.189 6.027
V 3.955 4.290 3.026
P 1.381 4.343 5.043
P 3.615 1.242 4.010
C 1.548 1.357 8.334
C 3.448 4.458 0.719
O 0.319 1.351 7.792
O 0.521 4.434 3.782
O 1.002 3.155 5.935
O 1.076 5.602 5.936
O 2.036 1.302 0.479
O 2.117 1.245 4.342
O 2.556 4.500 1.710
O 2.440 1.399 7.343
O 2.880 4.346 4.711
O 2.960 4.403 8.574
O 3.920 2.501 3.117
O 3.995 0.055 3.118
O 4.475 1.333 5.271
O 4.677 4.452 1.261
```

---

Record 10
Here is Na4V2PC4O16 at its PBEsol-relaxed geometry from Alexandria via LeMat-Bulk. Energies are from meta-GGA SCAN.

Formation energy without anion corrections (eV per atom): -1.917
Total moment (μB per cell): 8.8

Geometry as extended XYZ:
```
54
Lattice="0.000 6.846 7.116 6.822 0.000 7.116 6.822 6.846 0.000" Properties=species:S:1:pos:R:3 pbc="T T T"
Na 5.116 1.115 5.337
Na 9.124 5.135 5.337
Na 8.527 4.538 8.894
Na 12.535 8.558 8.894
Na 1.109 5.135 5.337
Na 5.116 9.154 5.337
Na 4.520 8.558 8.894
Na 8.527 12.577 8.894
V 6.822 3.423 3.558
V 3.411 6.846 3.558
V 3.411 3.423 7.116
V 6.822 6.846 7.116
P 1.705 1.712 1.779
P 11.938 11.981 12.452
C 6.337 3.928 6.502
C 6.337 6.341 4.172
C 3.896 3.928 4.172
C 9.748 7.351 7.729
C 3.896 6.341 6.502
C 9.748 9.764 10.059
C 7.307 7.351 10.059
C 7.307 9.764 7.729
O 2.611 0.801 2.648
O 0.800 0.801 0.910
O 2.611 2.622 0.910
O 7.099 3.729 5.480
O 6.583 5.350 3.380
O 4.878 3.125 3.926
O 5.354 3.125 6.748
O 0.800 2.622 2.648
O 7.099 6.540 5.193
O 3.650 4.919 3.380
O 8.765 6.548 7.483
O 9.994 8.342 6.938
O 10.510 7.152 8.751
O 6.583 4.919 7.294
O 5.354 7.144 3.926
O 3.134 3.729 5.193
O 10.510 9.963 9.038
O 8.289 6.548 10.306
O 7.061 8.773 6.938
O 3.134 6.540 5.480
O 3.650 5.350 7.294
O 4.878 7.144 6.748
O 9.994 8.773 10.851
O 6.544 7.152 9.038
O 12.844 11.070 11.583
O 8.289 10.567 7.483
O 8.765 10.567 10.306
O 7.061 8.342 10.851
O 6.544 9.963 8.751
O 11.033 11.070 13.322
O 12.844 12.891 13.322
O 11.033 12.891 11.583
```

---

Record 11
Here is NaVPCO7 at its PBEsol-relaxed geometry from Alexandria via LeMat-Bulk. Energies are from meta-GGA SCAN.

Formation energy without anion corrections (eV per atom): -2.192
Total moment (μB per cell): 2.0

Geometry as extended XYZ:
```
22
Lattice="5.368 0.000 0.000 0.000 6.323 0.000 -0.211 0.000 8.605" Properties=species:S:1:pos:R:3 pbc="T T T"
Na 1.110 1.581 0.663
Na 4.047 4.742 7.942
V 1.200 4.742 2.879
V 3.957 1.581 5.726
P 1.285 1.581 3.725
P 3.872 4.742 4.880
C 1.676 4.742 0.511
C 3.482 1.581 8.094
O 0.175 1.581 4.791
O 0.453 4.742 1.044
O 1.168 0.360 2.803
O 1.168 2.801 2.803
O 1.692 4.742 7.898
O 2.509 4.742 4.157
O 2.584 4.742 1.462
O 2.573 1.581 7.143
O 2.649 1.581 4.448
O 3.465 1.581 0.707
O 3.989 3.521 5.802
O 3.989 5.963 5.802
O 4.704 1.581 7.561
O 4.982 4.742 3.814
```